A geometry-optimized Y4UAs5 structure. Source: Alexandria via LeMat-Bulk, functional GGA-PBE.

The formation energy comes out at -1390.5 meV per atom. For the calculated density, the calculation gives 6.5 g/cm³.

It has space group I4/m (No. 87), with a = 9.1889 Å, b = 9.1889 Å, c = 5.8180 Å, α = 90.00°, β = 90.00° and γ = 90.00°. The distinct sites, in fractional coordinates, are Y at (0.0986, 0.6993, 0.0000), U at (0.0000, 0.0000, 0.5000), As at (0.0000, 0.0000, 0.0000) and As at (0.0977, 0.7047, 0.5000).